(1)
# BaYBr3 (PBE, relaxed)
# Mass density, g/cm3: 3.18
# Energy relative to the elements, uncorrected, eV/atom: -0.93
# Volume, A^3/atom: 48.6
# Space-group type: Pm-3m, No. 221
data_BaYBr3
_chemical_formula_sum 'Ba1 Y1 Br3'
_cell_length_a 6.2407
_cell_length_b 6.2407
_cell_length_c 6.2407
_cell_angle_alpha 90.00
_cell_angle_beta 90.00
_cell_angle_gamma 90.00
_space_group_name_H-M_alt 'P 1'
_space_group_IT_number 1
loop_
_space_group_symop_operation_xyz
'x,y,z'
loop_
_atom_site_label
_atom_site_type_symbol
_atom_site_fract_x
_atom_site_fract_y
_atom_site_fract_z
Ba1 Ba 0.0000 0.0000 0.0000
Y1 Y 0.5000 0.5000 0.5000
Br1 Br 0.0000 0.0000 0.5000
Br2 Br 0.0000 0.5000 0.0000
Br3 Br 0.5000 0.0000 0.0000


(2)
# HfTeP3 (PBE, relaxed)
# Mass density, g/cm3: 5.68
# Energy relative to the elements, uncorrected, eV/atom: 1.13
# Volume, A^3/atom: 23.3
# Space-group type: Pm-3m, No. 221
data_HfTeP3
_chemical_formula_sum 'Hf1 Te1 P3'
_cell_length_a 4.8868
_cell_length_b 4.8868
_cell_length_c 4.8868
_cell_angle_alpha 90.00
_cell_angle_beta 90.00
_cell_angle_gamma 90.00
_space_group_name_H-M_alt 'P 1'
_space_group_IT_number 1
loop_
_space_group_symop_operation_xyz
'x,y,z'
loop_
_atom_site_label
_atom_site_type_symbol
_atom_site_fract_x
_atom_site_fract_y
_atom_site_fract_z
Hf1 Hf 0.0000 0.0000 0.0000
Te1 Te 0.5000 0.5000 0.5000
P1 P 0.0000 0.5000 0.5000
P2 P 0.5000 0.0000 0.5000
P3 P 0.5000 0.5000 0.0000


(3)
# TbDyErAg (PBE, relaxed)
# Mass density, g/cm3: 9.08
# Energy of formation from the pure elements, kcal/mol of atoms: 1.28
# Volume, A^3/atom: 27.3
# Space-group type: F-43m, No. 216
data_TbDyErAg
_chemical_formula_sum 'Tb4 Dy4 Er4 Ag4'
_cell_length_a 7.5850
_cell_length_b 7.5850
_cell_length_c 7.5850
_cell_angle_alpha 90.00
_cell_angle_beta 90.00
_cell_angle_gamma 90.00
_space_group_name_H-M_alt 'P 1'
_space_group_IT_number 1
loop_
_space_group_symop_operation_xyz
'x,y,z'
loop_
_atom_site_label
_atom_site_type_symbol
_atom_site_fract_x
_atom_site_fract_y
_atom_site_fract_z
Tb1 Tb 0.0000 0.0000 0.0000
Tb2 Tb 0.0000 0.5000 0.5000
Tb3 Tb 0.5000 0.0000 0.5000
Tb4 Tb 0.5000 0.5000 0.0000
Dy1 Dy 0.0000 0.0000 0.5000
Dy2 Dy 0.0000 0.5000 0.0000
Dy3 Dy 0.5000 0.0000 0.0000
Dy4 Dy 0.5000 0.5000 0.5000
Er1 Er 0.2500 0.2500 0.7500
Er2 Er 0.2500 0.7500 0.2500
Er3 Er 0.7500 0.2500 0.2500
Er4 Er 0.7500 0.7500 0.7500
Ag1 Ag 0.2500 0.2500 0.2500
Ag2 Ag 0.2500 0.7500 0.7500
Ag3 Ag 0.7500 0.2500 0.7500
Ag4 Ag 0.7500 0.7500 0.2500


(4)
# Ni3Pt7 (PBE, relaxed)
# Mass density, g/cm3: 17.70
# Energy of formation from the pure elements, kcal/mol of atoms: -1.27
# Volume, A^3/atom: 14.5
# Space-group type: P-1, No. 2
data_Ni3Pt7
_chemical_formula_sum 'Ni6 Pt14'
_cell_length_a 4.7271
_cell_length_b 7.2581
_cell_length_c 9.0724
_cell_angle_alpha 106.56
_cell_angle_beta 100.61
_cell_angle_gamma 95.89
_space_group_name_H-M_alt 'P 1'
_space_group_IT_number 1
loop_
_space_group_symop_operation_xyz
'x,y,z'
loop_
_atom_site_label
_atom_site_type_symbol
_atom_site_fract_x
_atom_site_fract_y
_atom_site_fract_z
Ni1 Ni 0.0224 0.0986 0.2715
Ni2 Ni 0.0783 0.3011 0.8262
Ni3 Ni 0.1769 0.7031 0.9252
Ni4 Ni 0.8231 0.2969 0.0748
Ni5 Ni 0.9217 0.6989 0.1738
Ni6 Ni 0.9776 0.9014 0.7285
Pt1 Pt 0.1177 0.4935 0.3650
Pt2 Pt 0.2183 0.8996 0.4696
Pt3 Pt 0.2633 0.1008 0.0182
Pt4 Pt 0.3244 0.3010 0.5767
Pt5 Pt 0.3571 0.4980 0.1139
Pt6 Pt 0.4244 0.7081 0.6823
Pt7 Pt 0.4639 0.8941 0.2175
Pt8 Pt 0.5361 0.1059 0.7825
Pt9 Pt 0.5756 0.2919 0.3177
Pt10 Pt 0.6429 0.5020 0.8861
Pt11 Pt 0.6756 0.6990 0.4233
Pt12 Pt 0.7367 0.8992 0.9818
Pt13 Pt 0.7817 0.1004 0.5304
Pt14 Pt 0.8823 0.5065 0.6350


(5)
# ScTiPO2 (PBE, relaxed)
# Mass density, g/cm3: 3.20
# Energy relative to the elements, uncorrected, eV/atom: -1.25
# Volume, A^3/atom: 16.2
# Space-group type: P4/mmm, No. 123
data_ScTiPO2
_chemical_formula_sum 'Sc1 Ti1 P1 O2'
_cell_length_a 3.8925
_cell_length_b 3.8925
_cell_length_c 5.3300
_cell_angle_alpha 90.00
_cell_angle_beta 90.00
_cell_angle_gamma 90.00
_space_group_name_H-M_alt 'P 1'
_space_group_IT_number 1
loop_
_space_group_symop_operation_xyz
'x,y,z'
loop_
_atom_site_label
_atom_site_type_symbol
_atom_site_fract_x
_atom_site_fract_y
_atom_site_fract_z
Sc1 Sc 0.0000 0.0000 0.0000
Ti1 Ti 0.5000 0.5000 0.5000
P1 P 0.0000 0.0000 0.5000
O1 O 0.0000 0.5000 0.0000
O2 O 0.5000 0.0000 0.0000


(6)
# LiMg2Tc (PBE, relaxed)
# Mass density, g/cm3: 3.72
# Energy of formation from the pure elements, kcal/mol of atoms: 8.84
# Volume, A^3/atom: 17.1
# Space-group type: F-43m, No. 216
data_LiMg2Tc
_chemical_formula_sum 'Li4 Mg8 Tc4'
_cell_length_a 6.4966
_cell_length_b 6.4966
_cell_length_c 6.4966
_cell_angle_alpha 90.00
_cell_angle_beta 90.00
_cell_angle_gamma 90.00
_space_group_name_H-M_alt 'P 1'
_space_group_IT_number 1
loop_
_space_group_symop_operation_xyz
'x,y,z'
loop_
_atom_site_label
_atom_site_type_symbol
_atom_site_fract_x
_atom_site_fract_y
_atom_site_fract_z
Li1 Li 0.0000 0.0000 0.0000
Li2 Li 0.0000 0.5000 0.5000
Li3 Li 0.5000 0.0000 0.5000
Li4 Li 0.5000 0.5000 0.0000
Mg1 Mg 0.0000 0.0000 0.5000
Mg2 Mg 0.0000 0.5000 0.0000
Mg3 Mg 0.2500 0.2500 0.2500
Mg4 Mg 0.2500 0.7500 0.7500
Mg5 Mg 0.5000 0.0000 0.0000
Mg6 Mg 0.5000 0.5000 0.5000
Mg7 Mg 0.7500 0.2500 0.7500
Mg8 Mg 0.7500 0.7500 0.2500
Tc1 Tc 0.2500 0.2500 0.7500
Tc2 Tc 0.2500 0.7500 0.2500
Tc3 Tc 0.7500 0.2500 0.2500
Tc4 Tc 0.7500 0.7500 0.7500


(7)
# Dy3Y5Ho (PBE, relaxed)
# Mass density, g/cm3: 6.34
# Energy of formation from the pure elements, kcal/mol of atoms: 1.22
# Volume, A^3/atom: 31.9
# Space-group type: P6_3/mcm, No. 193
data_Dy3Y5Ho
_chemical_formula_sum 'Dy6 Y10 Ho2'
_cell_length_a 9.7204
_cell_length_b 9.7204
_cell_length_c 7.0272
_cell_angle_alpha 90.00
_cell_angle_beta 90.00
_cell_angle_gamma 120.00
_space_group_name_H-M_alt 'P 1'
_space_group_IT_number 1
loop_
_space_group_symop_operation_xyz
'x,y,z'
loop_
_atom_site_label
_atom_site_type_symbol
_atom_site_fract_x
_atom_site_fract_y
_atom_site_fract_z
Dy1 Dy 0.0000 0.3590 0.2500
Dy2 Dy 0.0000 0.6410 0.7500
Dy3 Dy 0.3590 0.0000 0.2500
Dy4 Dy 0.3590 0.3590 0.7500
Dy5 Dy 0.6410 0.0000 0.7500
Dy6 Dy 0.6410 0.6410 0.2500
Y1 Y 0.0000 0.3062 0.7500
Y2 Y 0.0000 0.6938 0.2500
Y3 Y 0.3062 0.0000 0.7500
Y4 Y 0.3062 0.3062 0.2500
Y5 Y 0.3333 0.6667 0.0000
Y6 Y 0.3333 0.6667 0.5000
Y7 Y 0.6667 0.3333 0.0000
Y8 Y 0.6667 0.3333 0.5000
Y9 Y 0.6938 0.0000 0.2500
Y10 Y 0.6938 0.6938 0.7500
Ho1 Ho 0.0000 0.0000 0.0000
Ho2 Ho 0.0000 0.0000 0.5000


(8)
# Tb4Tm5In (PBE, relaxed)
# Mass density, g/cm3: 8.81
# Energy of formation from the pure elements, kcal/mol of atoms: -1.86
# Volume, A^3/atom: 30.1
# Space-group type: P4/mmm, No. 123
data_Tb4Tm5In
_chemical_formula_sum 'Tb4 Tm5 In1'
_cell_length_a 3.5258
_cell_length_b 3.5258
_cell_length_c 24.1762
_cell_angle_alpha 90.00
_cell_angle_beta 90.00
_cell_angle_gamma 90.00
_space_group_name_H-M_alt 'P 1'
_space_group_IT_number 1
loop_
_space_group_symop_operation_xyz
'x,y,z'
loop_
_atom_site_label
_atom_site_type_symbol
_atom_site_fract_x
_atom_site_fract_y
_atom_site_fract_z
Tb1 Tb 0.0000 0.0000 0.1034
Tb2 Tb 0.0000 0.0000 0.3107
Tb3 Tb 0.0000 0.0000 0.6893
Tb4 Tb 0.0000 0.0000 0.8966
Tm1 Tm 0.5000 0.5000 0.0000
Tm2 Tm 0.5000 0.5000 0.2064
Tm3 Tm 0.5000 0.5000 0.4135
Tm4 Tm 0.5000 0.5000 0.5865
Tm5 Tm 0.5000 0.5000 0.7936
In1 In 0.0000 0.0000 0.5000


For the records above, the corresponding total moment values read 1.89; 0.00; 0.00; 8.61; 0.06; 6.87; 0.00; 0.00 Bohr magnetons per cell.
For the records above, the corresponding raw total energy values read -3.6091; -4.7375; -4.1061; -6.0179; -7.1558; -3.4840; -5.5811; -4.4424 eV per atom.